No. 1
A geometry-optimized Hf2AgOsS structure, computed with GGA-PBE.

## Properties
For the distance to the lowest polymorph of the same formula, the calculation gives 0 meV per atom. As for the symmetry: P4/mmm. The total energy is -0.5371 Ry per atom. As for the formation energy without anion corrections: 0.32 eV per atom.

abc: 4.7106 4.4311 4.7106
angles: 90.00 90.00 90.00
Positions (direct):
S: 0.0000 0.0000 0.0000
Hf: 0.0000 0.0000 0.5000
Hf: 0.5000 0.0000 0.0000
Ag: 0.0000 0.5000 0.0000
Os: 0.5000 0.5000 0.5000



No. 2
A geometry-optimized LaEuPd2 structure, computed with GGA-PBE.

## Properties
For the distance to the lowest polymorph of the same formula, the calculation gives 0 meV per atom. As for the symmetry: P4/mmm. Its formation energy is -738 meV/atom. The total energy is -0.5244 Ry per atom.

abc: 3.6665 3.6665 7.3074
angles: 90.00 90.00 90.00
Positions (direct):
La: 0.5000 0.5000 0.0000
Eu: 0.5000 0.5000 0.5000
Pd: 0.0000 0.0000 0.7658
Pd: 0.0000 0.0000 0.2342



No. 3
A geometry-optimized Sc6CdFe2 structure, computed with GGA-PBE.

## Properties
As for the symmetry: Immm. Its formation energy is -160 meV/atom. The total energy is -0.4677 Ry per atom.

abc: 7.8110 7.8110 7.8110
angles: 106.15 109.97 112.35
Positions (direct):
Fe: 0.6210 0.0000 0.6210
Fe: 0.5000 0.6136 0.1136
Fe: 0.3790 0.0000 0.3790
Fe: 0.5000 0.3864 0.8864
Sc: 0.2205 0.7706 0.9910
Sc: 0.2942 0.9827 0.6884
Sc: 0.4827 0.2897 0.1930
Sc: 0.5173 0.7103 0.8070
Sc: 0.7795 0.7706 0.5501
Sc: 0.2942 0.6058 0.3116
Sc: 0.9034 0.7103 0.1930
Sc: 0.0966 0.2897 0.8070
Sc: 0.2205 0.2294 0.4499
Sc: 0.7058 0.0173 0.3116
Sc: 0.7795 0.2294 0.0090
Sc: 0.7058 0.3942 0.6884
Cd: 0.0000 0.0000 0.0000
Cd: 0.0000 0.5000 0.5000



No. 4
A geometry-optimized NdGa2H6 structure, computed with GGA-PBE.

## Properties
As for the symmetry: Fm-3m. The total energy is -0.2107 Ry per atom.

abc: 5.3439 5.3439 5.3439
angles: 60.00 60.00 60.00
Positions (direct):
Ga: 0.2500 0.2500 0.2500
Ga: 0.7500 0.7500 0.7500
H: 0.2886 0.7114 0.2886
H: 0.2886 0.2886 0.7114
H: 0.7114 0.2886 0.7114
H: 0.2886 0.7114 0.7114
H: 0.7114 0.2886 0.2886
H: 0.7114 0.7114 0.2886
Nd: 0.0000 0.0000 0.0000



No. 5
A geometry-optimized CePm2Dy structure, computed with GGA-PBE.

## Properties
For the distance to the lowest polymorph of the same formula, the calculation gives 137 meV per atom. As for the symmetry: R-3m. Its formation energy is 202 meV/atom. The total energy is -0.3533 Ry per atom.

abc: 3.4933 3.4933 12.5171
angles: 81.98 81.98 60.00
Positions (direct):
Dy: 0.0000 0.0000 0.0000
Pm: 0.0904 0.0904 0.7287
Pm: 0.9096 0.9096 0.2713
Ce: 0.5000 0.5000 0.5000



No. 6
A geometry-optimized PmBeSiIr structure, computed with GGA-PBE.

## Properties
As for the symmetry: R3m. The total energy is -0.4658 Ry per atom. As for the formation energy without anion corrections: -0.65 eV per atom.

abc: 4.0538 4.0538 5.6666
angles: 69.04 69.04 60.00
Positions (direct):
Pm: 0.8137 0.8137 0.5588
Be: 0.2851 0.2851 0.1447
Ir: 0.6209 0.6209 0.1372
Si: 0.0061 0.0061 0.9817



No. 7
A geometry-optimized Cd5In4Bi structure, computed with GGA-PBE.

## Properties
As for the symmetry: Pmmn. Its formation energy is 48 meV/atom. The total energy is -0.1391 Ry per atom.

abc: 5.4891 8.9046 10.9764
angles: 90.00 90.00 90.00
Positions (direct):
In: 0.8849 0.1830 0.0000
In: 0.1151 0.3170 0.5000
In: 0.2308 0.5000 0.1549
In: 0.8849 0.8170 0.0000
In: 0.7692 0.0000 0.6549
In: 0.2308 0.5000 0.8451
In: 0.1151 0.6830 0.5000
In: 0.7692 0.0000 0.3451
Cd: 0.2568 0.8239 0.7512
Cd: 0.7432 0.6761 0.7488
Cd: 0.7432 0.3239 0.7488
Cd: 0.7432 0.6761 0.2512
Cd: 0.3014 0.0000 0.5000
Cd: 0.7432 0.3239 0.2512
Cd: 0.2568 0.1761 0.2488
Cd: 0.2568 0.8239 0.2488
Cd: 0.2568 0.1761 0.7512
Cd: 0.6986 0.5000 0.0000
Bi: 0.6234 0.5000 0.5000
Bi: 0.3766 0.0000 0.0000



No. 8
A geometry-optimized Nd5Mg4Cd structure, computed with GGA-PBE.

## Properties
As for the symmetry: P4/mmm. Its formation energy is -152 meV/atom. The total energy is -0.2400 Ry per atom.

abc: 3.8794 3.8794 19.4154
angles: 90.00 90.00 90.00
Positions (direct):
Nd: 0.5000 0.5000 0.7011
Nd: 0.5000 0.5000 0.5000
Nd: 0.5000 0.5000 0.0990
Nd: 0.5000 0.5000 0.9010
Nd: 0.5000 0.5000 0.2989
Mg: 0.0000 0.0000 0.3995
Mg: 0.0000 0.0000 0.6005
Mg: 0.0000 0.0000 0.2002
Mg: 0.0000 0.0000 0.7998
Cd: 0.0000 0.0000 0.0000